No. 1
Material: KCoRh3
Method: DFT, PBE-GGA
State: relaxed

a b c (Å): 4.6461 4.6461 4.6461
angles (deg): 90.00 90.00 90.00
Last column: magnetic moment on the atom in μB.
Element x y z (fractional)
Rh 0.0000 0.0000 0.5000  0.57
Rh 0.5000 0.0000 0.0000  0.82
Rh 0.0000 0.5000 0.0000  0.79
Co 0.5000 0.5000 0.5000  2.23
K 0.0000 0.0000 0.0000  -0.01

energy relative to the lowest polymorph listed for this composition = 1607.1 meV/atom
formation energy from the elements = 2498 meV per atom

No. 2
Material: KBaSmCl6
Method: DFT, PBE-GGA
State: relaxed

a b c (Å): 7.6084 7.6084 12.8478
angles (deg): 90.00 90.00 120.00
Element x y z (fractional)
Cl 0.9568 0.6338 0.3695
Cl 0.0432 0.3662 0.6305
Cl 0.0432 0.6770 0.8695
Cl 0.3662 0.0432 0.1305
Cl 0.6338 0.9568 0.8695
Cl 0.6338 0.6770 0.6305
Cl 0.6770 0.0432 0.3695
Cl 0.3230 0.3662 0.8695
Cl 0.9568 0.3230 0.1305
Cl 0.3662 0.3230 0.3695
Cl 0.3230 0.9568 0.6305
Cl 0.6770 0.6338 0.1305
Ba 0.0000 0.0000 0.5000
Ba 0.0000 0.0000 0.0000
K 0.3333 0.6667 0.2500
K 0.6667 0.3333 0.7500
Sm 0.3333 0.6667 0.7500
Sm 0.6667 0.3333 0.2500

formation energy from raw total energies = -2.290 eV per atom

No. 3
Material: Tl2InRe
Method: DFT, PBE-GGA
State: relaxed

a b c (Å): 3.0485 3.0485 11.0627
angles (deg): 90.00 90.00 114.61
Element x y z (fractional)
Tl 0.0000 0.0000 0.9700
Tl 0.0000 0.0000 0.5300
In 0.5000 0.5000 0.2500
Re 0.5000 0.5000 0.7500

energy relative to the lowest polymorph listed for this composition = 201.5 meV/atom
formation energy from the elements = 761 meV per atom

No. 4
Material: TeHPd3
Method: DFT, PBE-GGA
State: relaxed

a b c (Å): 4.1529 4.1529 4.1529
angles (deg): 90.00 90.00 90.00
Element x y z (fractional)
H 0.0000 0.0000 0.0000
Pd 0.0000 0.0000 0.5000
Pd 0.0000 0.5000 0.0000
Pd 0.5000 0.0000 0.0000
Te 0.5000 0.5000 0.5000

energy relative to the lowest polymorph listed for this composition = 42.6 meV/atom

No. 5
Material: K2PuSbO6
Method: DFT, PBE-GGA
State: relaxed

a b c (Å): 5.8979 5.8984 5.8981
angles (deg): 60.00 60.01 90.00
Last column: magnetic moment on the atom in μB.
Element x y z (fractional)
Sb 0.5000 0.5000 0.0000  0.01
O 0.2569 0.7432 0.9999  -0.06
O 0.7430 0.7430 0.5138  -0.06
O 0.2570 0.2570 0.4862  -0.06
O 0.2567 0.2568 0.0001  -0.06
O 0.7431 0.2568 0.0001  -0.06
O 0.7433 0.7432 0.9999  -0.06
K 0.7501 0.2500 0.5000  0.00
K 0.2499 0.7500 0.5000  0.00
Pu 0.0000 0.0000 0.0000  3.35

formation energy from raw total energies = -2.052 eV per atom

No. 6
Material: Ca2PdSe4
Method: DFT, PBE-GGA
State: relaxed

a b c (Å): 5.0185 5.0185 8.0529
angles (deg): 71.84 71.84 90.00
Element x y z (fractional)
Se 0.1731 0.1731 0.6537
Se 0.8269 0.8269 0.3463
Se 0.0000 0.5000 0.0000
Se 0.5000 0.0000 0.0000
Ca 0.6301 0.6301 0.7398
Ca 0.3699 0.3699 0.2602
Pd 0.0000 0.0000 0.0000

formation energy from raw total energies = -0.928 eV per atom

No. 7
Material: CaPr2UN4
Method: DFT, PBE-GGA
State: relaxed

a b c (Å): 3.5904 6.2024 6.0742
angles (deg): 71.32 90.00 90.00
Last column: magnetic moment on the atom in μB.
Element x y z (fractional)
Ca 0.0000 0.5000 0.5000  0.00
N 0.5000 0.7177 0.2178  -0.01
N 0.0000 0.2853 0.2191  -0.01
N 0.5000 0.2823 0.7822  -0.01
N 0.0000 0.7147 0.7809  -0.01
Pr 0.5000 0.0000 0.5000  0.03
Pr 0.0000 0.0000 0.0000  0.02
U 0.5000 0.5000 0.0000  0.30

formation energy from raw total energies = -1.305 eV per atom

No. 8
Material: CaRh2W
Method: DFT, PBE-GGA
State: relaxed

a b c (Å): 5.2859 5.2859 5.2859
angles (deg): 137.04 137.04 62.37
Element x y z (fractional)
Ca 0.7500 0.2500 0.5000
W 0.5000 0.5000 0.0000
Rh 0.2500 0.7500 0.5000
Rh 0.0000 0.0000 0.0000

energy relative to the lowest polymorph listed for this composition = 440.3 meV/atom
formation energy from the elements = 290 meV per atom

No. 9
Material: LaMnTc2
Method: DFT, PBE-GGA
State: relaxed

a b c (Å): 4.8298 4.8298 8.6338
angles (deg): 73.76 73.76 90.00
Element x y z (fractional)
Mn 0.5000 0.5000 0.0000
Mn 0.2500 0.7500 0.5000
Tc 0.8750 0.6250 0.7500
Tc 0.3750 0.6250 0.7500
Tc 0.3750 0.1250 0.2500
Tc 0.3750 0.6250 0.2500
La 0.0000 0.0000 0.0000
La 0.7500 0.2500 0.5000

energy relative to the lowest polymorph listed for this composition = 472.2 meV/atom
formation energy from the elements = 687 meV per atom

No. 10
Material: CeDy5Y8
Method: DFT, PBE-GGA
State: relaxed

a b c (Å): 8.4141 8.4141 8.4141
angles (deg): 110.71 110.71 107.02
Last column: magnetic moment on the atom in μB.
Element x y z (fractional)
Dy 0.4647 0.0716 0.1771  -0.01
Dy 0.9284 0.1055 0.3930  -0.01
Dy 0.7125 0.5353 0.6070  -0.01
Dy 0.8945 0.2875 0.8229  -0.01
Dy 0.5000 0.5000 0.0000  0.00
Y 0.2263 0.3308 0.2523  0.01
Y 0.0784 0.9740 0.7477  0.01
Y 0.8374 0.4298 0.2475  0.01
Y 0.5702 0.8178 0.4076  0.01
Y 0.1822 0.5899 0.7525  0.01
Y 0.4101 0.1626 0.5924  0.01
Y 0.6692 0.9216 0.8956  0.01
Y 0.0260 0.7737 0.1044  0.01
Ce 0.2500 0.7500 0.5000  0.39

formation energy from the elements = 249 meV per atom

No. 11
Material: NaPmPt
Method: DFT, PBE-GGA
State: relaxed

a b c (Å): 4.0676 4.0695 13.2959
angles (deg): 81.53 90.01 59.94
Element x y z (fractional)
Na 0.3721 0.9566 0.7275
Na 0.1177 0.4653 0.9515
Pt 0.9032 0.8932 0.3107
Pt 0.6572 0.3849 0.5820
Pm 0.2841 0.1312 0.4573
Pm 0.5322 0.6356 0.1940

energy relative to the lowest polymorph listed for this composition = 26.4 meV/atom
formation energy from the elements = -499 meV per atom

No. 12
Material: ZrScIr2Cl
Method: DFT, PBE-GGA
State: relaxed

a b c (Å): 4.5694 4.5758 4.5694
angles (deg): 90.00 90.00 90.00
Element x y z (fractional)
Ir 0.0000 0.0000 0.5000
Ir 0.5000 0.0000 0.0000
Cl 0.0000 0.0000 0.0000
Sc 0.5000 0.5000 0.5000
Zr 0.0000 0.5000 0.0000

formation energy from raw total energies = 0.371 eV per atom

Values of magnetic moment, in order: 4.29 0.00 0.00 0.00 3.00 0.00 0.37 0.00 0.00 0.57 0.00 0.00, all in Bohr magnetons per cell.